The following is a DFT calculation (PBE with a Hubbard U) of PaV2ReO8 after structural relaxation. Values from VASP.

The structure in Quantum ESPRESSO input format:
```
&SYSTEM
  ibrav = 0, nat = 12, ntyp = 4
/
ATOMIC_SPECIES
Pa 231.04 Pa.upf
V 50.94 V.upf
Re 186.21 Re.upf
O 16.00 O.upf
ATOMIC_POSITIONS crystal
Pa 0.0000 0.0000 0.0000
V 0.4978 0.4978 0.2577
V 0.5022 0.5022 0.7423
Re 0.0000 0.0000 0.5000
O 0.2020 0.7882 0.7265
O 0.2118 0.7980 0.2735
O 0.2840 0.2840 0.5034
O 0.3138 0.3138 0.0049
O 0.6862 0.6862 0.9951
O 0.7160 0.7160 0.4966
O 0.7882 0.2020 0.7265
O 0.7980 0.2118 0.2735
CELL_PARAMETERS angstrom
3.3595 -3.4097 0.0000
3.3595 3.4097 0.0000
-0.0724 0.0000 6.3644
```

Output
M_tot: 4.2 μB per cell
raw total energy: -104.06 eV per cell